(1)
A geometry-optimized LiLa2H2 structure, computed with PBE.

Cell: 7.1193 7.1193 3.5620 Å, 90.00 90.00 90.00°
Space group P4/mbm (No. 127)
One atom of each set of equivalent atoms:
1 Li 0.0000 0.0000 0.0000 [2 per cell]
2 La 0.1778 0.3222 0.5000 [4 per cell]
3 H 0.1328 0.6328 0.0000 [4 per cell]

Summary:
Energy above the most stable polymorph in this dataset ... 0.2240 eV per atom
Calculated density ... 5.3 g/cm3
Size of the total moment ... 0.000 μB/f.u.

***

(2)
A geometry-optimized CsZrNb3 structure, computed with PBE.

Cell: 5.0209 5.0209 5.0209 Å, 90.00 90.00 90.00°
Space group Pm-3m (No. 221)
One atom of each set of equivalent atoms:
1 Cs 0.0000 0.0000 0.0000 [1 per cell]
2 Zr 0.5000 0.5000 0.5000 [1 per cell]
3 Nb 0.0000 0.0000 0.5000 [3 per cell]

Summary:
Energy above the most stable polymorph in this dataset ... 0.5533 eV per atom
Calculated density ... 6.6 g/cm3
Size of the total moment ... 0.000 μB/f.u.
Formation enthalpy at 0 K ... 2.44 eV/atom

***

(3)
A geometry-optimized CaNpAgO6 structure, computed with PBE.

Cell: 5.5112 5.5112 10.2134 Å, 90.00 90.00 120.00°
Space group P-31c (No. 163)
One atom of each set of equivalent atoms:
1 Ca 0.0000 0.0000 0.0000 [2 per cell]
2 Np 0.3333 0.6667 0.2500 [2 per cell]
3 Ag 0.3333 0.6667 0.7500 [2 per cell]
4 O 0.0296 0.3668 0.1374 [12 per cell]

Summary:
Calculated density ... 5.9 g/cm3
E_form (uncorrected) ... -182.8 kJ/mol of atoms
Size of the total moment ... 2.055 μB/f.u.

***

(4)
A geometry-optimized Hf2FeGe2 structure, computed with PBE.

Cell: 5.4626 11.8054 5.4312 Å, 90.00 90.00 90.00°
Space group Ibam (No. 72)
One atom of each set of equivalent atoms:
1 Hf 0.2143 0.1626 0.0000 [8 per cell]
2 Fe 0.0000 0.0000 0.2500 [4 per cell]
3 Ge 0.2030 0.4062 0.0000 [8 per cell]

Summary:
Calculated density ... 10.6 g/cm3
Size of the total moment ... 0.000 μB/f.u.
Formation enthalpy at 0 K ... -0.45 eV/atom

***

Which value of calculated density does entry 2 give? 6.6 g/cm3